# 1
{
  "formula": "ScSbTe2",
  "functional": "meta-GGA SCAN",
  "state": "PBEsol geometry",
  "total_energy_ev_per_cell": -127.5,
  "dos_ef_per_ev_cell": 3.1,
  "e_form_raw_ev_per_atom": -0.37,
  "m_tot_mub_per_cell": 0.000,
  "space_group": "Cmmm",
  "lattice_angstrom": [[3.794, 0.000, 0.000], [0.000, 5.772, -0.095], [0.000, -2.596, 5.156]],
  "species": ["Sb", "Sc", "Te", "Te"],
  "fractional_positions": [[0.500, 0.000, 0.500], [0.500, 0.500, 0.000], [0.000, 0.276, 0.224], [0.000, 0.724, 0.776]]
}

# 2
{
  "formula": "ScSbTe2",
  "functional": "meta-GGA SCAN",
  "state": "PBEsol geometry",
  "total_energy_ev_per_cell": -253.8,
  "dos_ef_per_ev_cell": 5.3,
  "e_form_raw_ev_per_atom": -0.23,
  "m_tot_mub_per_cell": 0.000,
  "space_group": "I-42d",
  "lattice_angstrom": [[5.426, 0.000, 0.000], [0.000, 5.426, 0.000], [-2.713, -2.713, 8.870]],
  "species": ["Sc", "Sc", "Sb", "Sb", "Te", "Te", "Te", "Te"],
  "fractional_positions": [[0.750, 0.250, 0.500], [0.500, 0.500, 0.000], [0.250, 0.750, 0.500], [0.000, 0.000, 0.000], [0.845, 0.375, 0.250], [0.405, 0.875, 0.250], [0.625, 0.595, 0.750], [0.125, 0.155, 0.750]]
}

# 3
{
  "formula": "ScSb2Te",
  "functional": "meta-GGA SCAN",
  "state": "PBEsol geometry",
  "total_energy_ev_per_cell": -126.5,
  "dos_ef_per_ev_cell": 3.0,
  "e_form_raw_ev_per_atom": -0.12,
  "m_tot_mub_per_cell": 0.000,
  "space_group": "R-3m",
  "lattice_angstrom": [[-0.593, 2.121, 2.519], [1.654, -0.330, 2.890], [7.763, 6.856, -1.721]],
  "species": ["Sb", "Sb", "Sc", "Te"],
  "fractional_positions": [[0.241, 0.241, 0.278], [0.759, 0.759, 0.722], [0.500, 0.500, 0.500], [0.000, 0.000, 0.000]]
}

# 4
{
  "formula": "ScSbTe2",
  "functional": "meta-GGA SCAN",
  "state": "PBEsol geometry",
  "total_energy_ev_per_cell": -127.4,
  "dos_ef_per_ev_cell": 3.1,
  "e_form_raw_ev_per_atom": -0.35,
  "m_tot_mub_per_cell": 0.000,
  "space_group": "Pmmm",
  "lattice_angstrom": [[3.714, 0.000, 0.000], [0.000, 5.020, 0.000], [0.000, 0.000, 5.418]],
  "species": ["Sb", "Sc", "Te", "Te"],
  "fractional_positions": [[0.500, 0.500, 0.000], [0.500, 0.000, 0.500], [0.000, 0.000, 0.000], [0.000, 0.500, 0.500]]
}

# 5
{
  "formula": "ScTl2Sb",
  "functional": "meta-GGA SCAN",
  "state": "PBEsol geometry",
  "total_energy_ev_per_cell": -197.5,
  "dos_ef_per_ev_cell": 1.5,
  "e_form_raw_ev_per_atom": -0.32,
  "m_tot_mub_per_cell": 0.000,
  "e_above_lowest_polymorph_ev_per_atom": 0.000,
  "space_group": "P4mm",
  "lattice_angstrom": [[3.897, 0.000, 0.037], [0.000, 3.897, 0.000], [-0.064, 0.000, 6.782]],
  "species": ["Sb", "Sc", "Tl", "Tl"],
  "fractional_positions": [[0.000, 0.000, 0.553], [0.500, 0.500, 0.702], [0.000, 0.000, 0.998], [0.500, 0.500, 0.247]]
}

# 6
{
  "formula": "ScTl3Sb",
  "functional": "meta-GGA SCAN",
  "state": "PBEsol geometry",
  "total_energy_ev_per_cell": -266.4,
  "dos_ef_per_ev_cell": 2.6,
  "e_form_raw_ev_per_atom": 0.44,
  "m_tot_mub_per_cell": 1.004,
  "space_group": "Pm-3m",
  "lattice_angstrom": [[-0.286, 2.329, 4.967], [3.407, -3.823, 1.988], [4.300, 3.184, -1.245]],
  "species": ["Sc", "Sb", "Tl", "Tl", "Tl"],
  "fractional_positions": [[0.000, 0.000, 0.000], [0.500, 0.500, 0.500], [0.000, 0.500, 0.000], [0.000, 0.000, 0.500], [0.500, 0.000, 0.000]]
}

# 7
{
  "formula": "ScTl2Sb",
  "functional": "meta-GGA SCAN",
  "state": "PBEsol geometry",
  "total_energy_ev_per_cell": -197.4,
  "dos_ef_per_ev_cell": 1.8,
  "e_form_raw_ev_per_atom": -0.29,
  "m_tot_mub_per_cell": 0.000,
  "e_above_lowest_polymorph_ev_per_atom": 0.031,
  "space_group": "Fmmm",
  "lattice_angstrom": [[4.260, -0.001, 0.000], [-0.012, 4.260, 0.000], [-2.124, -2.129, 5.725]],
  "species": ["Sb", "Sc", "Tl", "Tl"],
  "fractional_positions": [[0.000, 0.000, 0.000], [0.500, 0.500, 0.000], [0.000, 0.000, 0.500], [0.500, 0.500, 0.500]]
}

# 8
{
  "formula": "ScSbW2",
  "functional": "meta-GGA SCAN",
  "state": "PBEsol geometry",
  "total_energy_ev_per_cell": -190.0,
  "dos_ef_per_ev_cell": 1.7,
  "e_form_raw_ev_per_atom": 0.21,
  "m_tot_mub_per_cell": 0.000,
  "space_group": "P4/mmm",
  "lattice_angstrom": [[3.984, 0.000, 0.000], [0.000, 3.984, 0.000], [0.000, 0.000, 4.402]],
  "species": ["Sb", "Sc", "W", "W"],
  "fractional_positions": [[0.500, 0.500, 0.500], [0.000, 0.000, 0.500], [0.000, 0.500, 0.000], [0.500, 0.000, 0.000]]
}

# 9
{
  "formula": "ScSbW",
  "functional": "meta-GGA SCAN",
  "state": "PBEsol geometry",
  "total_energy_ev_per_cell": -121.3,
  "dos_ef_per_ev_cell": 0.8,
  "e_form_raw_ev_per_atom": -0.03,
  "m_tot_mub_per_cell": 0.000,
  "space_group": "I4mm",
  "lattice_angstrom": [[-2.848, 1.762, -1.048], [-0.540, -2.375, -2.526], [-0.878, -2.150, 4.647]],
  "species": ["Sb", "Sc", "W"],
  "fractional_positions": [[0.990, 0.990, 0.979], [0.670, 0.670, 0.341], [0.340, 0.340, 0.680]]
}

# 10
{
  "formula": "ScSb3W",
  "functional": "meta-GGA SCAN",
  "state": "PBEsol geometry",
  "total_energy_ev_per_cell": -192.2,
  "dos_ef_per_ev_cell": 5.5,
  "e_form_raw_ev_per_atom": 0.70,
  "m_tot_mub_per_cell": 1.155,
  "space_group": "Pm-3m",
  "lattice_angstrom": [[5.199, 0.000, 0.000], [0.000, 5.199, 0.000], [0.000, 0.000, 5.199]],
  "species": ["Sc", "Sb", "Sb", "Sb", "W"],
  "fractional_positions": [[0.500, 0.500, 0.500], [0.000, 0.500, 0.000], [0.000, 0.000, 0.500], [0.500, 0.000, 0.000], [0.000, 0.000, 0.000]]
}

# 11
{
  "formula": "Sc2SbW",
  "functional": "meta-GGA SCAN",
  "state": "PBEsol geometry",
  "total_energy_ev_per_cell": -135.4,
  "dos_ef_per_ev_cell": 3.4,
  "e_form_raw_ev_per_atom": 0.01,
  "m_tot_mub_per_cell": 1.429,
  "space_group": "P4mm",
  "lattice_angstrom": [[3.546, 0.000, 0.000], [0.000, 3.546, 0.000], [0.000, 0.000, 6.256]],
  "species": ["Sb", "Sc", "Sc", "W"],
  "fractional_positions": [[0.500, 0.500, 0.733], [0.000, 0.000, 0.982], [0.500, 0.500, 0.266], [0.000, 0.000, 0.519]]
}

# 12
{
  "formula": "ScSb2W",
  "functional": "meta-GGA SCAN",
  "state": "PBEsol geometry",
  "total_energy_ev_per_cell": -158.2,
  "dos_ef_per_ev_cell": 3.0,
  "e_form_raw_ev_per_atom": 0.05,
  "m_tot_mub_per_cell": 0.000,
  "space_group": "Cm",
  "lattice_angstrom": [[3.507, 0.000, 0.000], [0.000, 4.695, -0.004], [-1.754, -1.000, 4.905]],
  "species": ["Sb", "Sb", "Sc", "W"],
  "fractional_positions": [[0.002, 0.069, 0.005], [0.253, 0.683, 0.506], [0.520, 0.573, 0.040], [0.725, 0.175, 0.450]]
}